No. 1
# PrTh6Sc12 (GGA-PBE, relaxed)
data_PrTh6Sc12
_space_group_name_H-M_alt 'R -3 m'
_space_group_IT_number 166
_space_group_name_Hall '-R 3 2"'
_cell_length_a 13.8880
_cell_length_b 13.8880
_cell_length_c 10.3943
_cell_angle_alpha 90.00
_cell_angle_beta 90.00
_cell_angle_gamma 120.00
loop_
_atom_site_label
_atom_site_fract_x
_atom_site_fract_y
_atom_site_fract_z
Pr1 0.0000 0.0000 0.0000
Th1 0.0718 0.5359 0.2200
Sc1 0.0000 0.3910 0.5000
Sc2 0.0794 0.1589 0.2617
# Energy relative to the elements, kJ/mol of formula units: 967


No. 2
# NaCa2Zn2Sn2 (GGA-PBE, relaxed)
data_NaCa2Zn2Sn2
_space_group_name_H-M_alt 'R -3 m'
_space_group_IT_number 166
_space_group_name_Hall '-R 3 2"'
_cell_length_a 4.7748
_cell_length_b 4.7748
_cell_length_c 28.5988
_cell_angle_alpha 90.00
_cell_angle_beta 90.00
_cell_angle_gamma 120.00
loop_
_atom_site_label
_atom_site_fract_x
_atom_site_fract_y
_atom_site_fract_z
Na1 0.0000 0.0000 0.0000
Ca1 0.0000 0.0000 0.1298
Zn1 0.0000 0.0000 0.4123
Sn1 0.0000 0.0000 0.2572
# Energy relative to the elements, kJ/mol of formula units: -192


No. 3
# Th4Te2OsPd (GGA-PBE, relaxed)
data_Th4Te2OsPd
_space_group_name_H-M_alt 'P 1 2/m 1'
_space_group_IT_number 10
_cell_length_a 7.2728
_cell_length_b 4.2398
_cell_length_c 8.0747
_cell_angle_alpha 90.00
_cell_angle_beta 107.47
_cell_angle_gamma 90.00
loop_
_space_group_symop_operation_xyz
'x,y,z'
'-x,-y,-z'
'-x,y,-z'
'x,-y,z'
loop_
_atom_site_label
_atom_site_fract_x
_atom_site_fract_y
_atom_site_fract_z
Th1 0.2268 0.0000 0.2038
Th2 0.2518 0.5000 0.7940
Te1 0.0000 0.0000 0.5000
Te2 0.5000 0.5000 0.5000
Os1 0.0000 0.5000 0.0000
Pd1 0.5000 0.0000 0.0000
# Raw formation energy, eV per atom: -0.88


No. 4
# CaCd (GGA-PBE, relaxed)
data_CaCd
_space_group_name_H-M_alt 'I 4/m m m'
_space_group_IT_number 139
_space_group_name_Hall '-I 4 2'
_cell_length_a 9.4458
_cell_length_b 9.4458
_cell_length_c 5.4184
_cell_angle_alpha 90.00
_cell_angle_beta 90.00
_cell_angle_gamma 90.00
loop_
_atom_site_label
_atom_site_fract_x
_atom_site_fract_y
_atom_site_fract_z
Ca1 0.0000 0.2889 0.0000
Cd1 0.1598 0.1598 0.5000
# Energy relative to the elements, kJ/mol of formula units: -48


We obtain N(E_F) values of 31.411; 1.680; 6.880; 1.815 states/eV/f.u. for the records listed above, in that order.